1 | Below is a relaxed PmYGaRu crystal, with properties calculated at the PBE-GGA level.

POSCAR file:
```
PmYGaRu
1.0
0.000 3.541 3.541
3.541 0.000 3.541
3.541 3.541 0.000
Pm Y Ga Ru
1 1 1 1
Cartesian
0.000 0.000 0.000
3.541 3.541 3.541
1.771 1.771 1.771
5.312 5.312 5.312
```

Computed properties:
Crystal system: cubic

***

2 | Below is a relaxed PmYGaRu crystal, with properties calculated at the PBE-GGA level.

POSCAR file:
```
PmYGaRu
1.0
4.377 0.000 0.000
0.000 1.995 5.385
0.000 -1.995 5.385
Pm Y Ga Ru
1 1 1 1
Cartesian
0.000 0.000 0.000
2.189 0.000 7.713
2.189 0.000 4.523
0.000 0.000 3.116
```

Computed properties:
Crystal system: orthorhombic

***

2 is the most stable structure shown above.